No. 1
# TbY2Cd5

A relaxed structure of TbY2Cd5 (PBE, Alexandria via LeMat-Bulk).

Lattice parameters (Å, degrees): 5.1434 5.1434 8.3361 107.97 107.97 90.00
With the nearest neighbours (Å) after each atom.
Atoms (fractional coordinates):
Tb: 0.0000 0.0000 0.0000  8 Cd 3.14
Y: 0.7387 0.7387 0.4774  8 Cd 3.13-3.34
Y: 0.2613 0.2613 0.5226  8 Cd 3.13-3.34
Cd: 0.5000 0.5000 0.0000  8 Cd 3.14
Cd: 0.8804 0.3804 0.7609  4 Y 3.13-3.34, 2 Cd 3.14, 2 Tb 3.14
Cd: 0.3804 0.8804 0.7609  4 Y 3.13-3.34, 2 Tb 3.14, 2 Cd 3.14
Cd: 0.1196 0.6196 0.2391  4 Y 3.13-3.34, 2 Cd 3.14, 2 Tb 3.14
Cd: 0.6196 0.1196 0.2391  4 Y 3.13-3.34, 2 Tb 3.14, 2 Cd 3.14

## Properties
electronic total energy	-3.0886	eV per atom
density of states at the Fermi level	0.432	states/eV/atom
ΔE_f	-322	meV/atom

No. 2
# AlTcSb2

A relaxed structure of AlTcSb2 (PBE, Alexandria via LeMat-Bulk).

Lattice parameters (Å, degrees): 3.2485 3.2485 7.7294 90.00 90.00 90.00
With the nearest neighbours (Å) after each atom.
Atoms (fractional coordinates):
Sb: 0.0000 0.0000 0.0368  4 Tc 2.83
Sb: 0.0000 0.0000 0.4632  4 Tc 2.83
Tc: 0.5000 0.5000 0.2500  8 Sb 2.83
Al: 0.5000 0.5000 0.7500  8 Sb 3.19, 4 Al 3.25

## Properties
electronic total energy	-5.4668	eV per atom
density of states at the Fermi level	0.429	states/eV/atom
formation energy from raw total energies	0.12	eV per atom

No. 3
# MgAg2Ge2

A relaxed structure of MgAg2Ge2 (PBE, Alexandria via LeMat-Bulk).

Lattice parameters (Å, degrees): 4.1417 4.1417 6.5534 71.58 71.58 90.00
With the nearest neighbours (Å) after each atom.
Atoms (fractional coordinates):
Ge: 0.3959 0.3959 0.2083  1 Ge 2.44, 4 Ag 2.69
Ge: 0.6041 0.6041 0.7917  1 Ge 2.44, 4 Ag 2.69
Mg: 0.0000 0.0000 0.0000  8 Ge 3.17
Ag: 0.7500 0.2500 0.5000  4 Ge 2.69, 4 Ag 2.93
Ag: 0.2500 0.7500 0.5000  4 Ge 2.69, 4 Ag 2.93

## Properties
electronic total energy	-3.1985	eV per atom
energy above the lowest structure with this stoichiometry	0.020	eV per atom
density of states at the Fermi level	0.446	states/eV/atom
ΔE_f	108	meV/atom

No. 4
# Nd2Er3Th

A relaxed structure of Nd2Er3Th (PBE, Alexandria via LeMat-Bulk).

Lattice parameters (Å, degrees): 3.5313 16.1711 6.9683 90.00 90.00 90.00
With the nearest neighbours (Å) after each atom.
Atoms (fractional coordinates):
Nd: 0.5000 0.8434 0.2488  6 Er 3.46-3.60, 2 Nd 3.53, 2 Th 3.55
Nd: 0.0000 0.3434 0.2512  6 Er 3.46-3.60, 2 Nd 3.53, 2 Th 3.55
Nd: 0.0000 0.6566 0.7488  6 Er 3.46-3.60, 2 Nd 3.53, 2 Th 3.55
Nd: 0.5000 0.1566 0.7512  6 Er 3.46-3.60, 2 Nd 3.53, 2 Th 3.55
Er: 0.0000 0.0000 0.0000  6 Er 3.48-3.53, 2 Th 3.48, 4 Nd 3.54
Er: 0.5000 0.5000 0.5000  6 Er 3.48-3.53, 2 Th 3.48, 4 Nd 3.54
Er: 0.5000 0.8505 0.7453  2 Th 3.45, 4 Nd 3.46-3.60, 4 Er 3.48-3.53
Er: 0.5000 0.1495 0.2547  2 Th 3.45, 4 Nd 3.46-3.60, 4 Er 3.48-3.53
Er: 0.0000 0.3505 0.7547  2 Th 3.45, 4 Nd 3.46-3.60, 4 Er 3.48-3.53
Er: 0.0000 0.6495 0.2453  2 Th 3.45, 4 Nd 3.46-3.60, 4 Er 3.48-3.53
Th: 0.0000 0.0000 0.5000  6 Er 3.45-3.48, 2 Th 3.53, 4 Nd 3.55
Th: 0.5000 0.5000 0.0000  6 Er 3.45-3.48, 2 Th 3.53, 4 Nd 3.55

## Properties
electronic total energy	-4.9783	eV per atom
energy above the lowest structure with this stoichiometry	0.000	eV per atom
density of states at the Fermi level	1.383	states/eV/atom
ΔE_f	129	meV/atom

No. 5
# SrAsRuO5

A relaxed structure of SrAsRuO5 (PBE, Alexandria via LeMat-Bulk).

Lattice parameters (Å, degrees): 5.8228 5.8228 7.3119 104.02 104.02 106.67
With the nearest neighbours (Å) after each atom.
Atoms (fractional coordinates):
Sr: 0.3327 0.6673 0.2500  7 O 2.46-2.72
Sr: 0.6673 0.3327 0.7500  7 O 2.46-2.72
As: 0.6877 0.3123 0.2500  4 O 1.75
As: 0.3123 0.6877 0.7500  4 O 1.75
Ru: 0.0000 0.0000 0.5000  6 O 1.94-2.17
Ru: 0.0000 0.0000 0.0000  6 O 1.94-2.17
O: 0.0689 0.9311 0.2500  2 Ru 1.94
O: 0.9311 0.0689 0.7500  2 Ru 1.94
O: 0.8982 0.3176 0.1148  1 As 1.75
O: 0.1018 0.6824 0.8852  1 As 1.75
O: 0.6824 0.1018 0.3852  1 As 1.75
O: 0.3176 0.8982 0.6148  1 As 1.75
O: 0.7553 0.6082 0.4261  1 As 1.75
O: 0.2447 0.3918 0.5739  1 As 1.75
O: 0.3918 0.2447 0.0739  1 As 1.75
O: 0.6082 0.7553 0.9261  1 As 1.75

## Properties
electronic total energy	-6.6300	eV per atom
density of states at the Fermi level	0.292	states/eV/atom
formation energy from raw total energies	-1.58	eV per atom

No. 6
# Tl2TcRu

A relaxed structure of Tl2TcRu (PBE, Alexandria via LeMat-Bulk).

Lattice parameters (Å, degrees): 4.3657 3.3176 5.6984 73.03 90.00 90.00
With the nearest neighbours (Å) after each atom.
Atoms (fractional coordinates):
Ru: 0.0000 0.6744 0.5229  2 Tc 2.45
Tc: 0.5000 0.5748 0.7280  2 Ru 2.45
Tl: 0.0000 0.9546 0.9652  3 Ru 2.92-3.04, 4 Tc 3.03, 4 Tl 3.24-3.25
Tl: 0.5000 0.2962 0.2839  3 Tc 2.93-3.03, 4 Ru 3.03-3.04, 4 Tl 3.24-3.25

## Properties
electronic total energy	-5.4465	eV per atom
energy above the lowest structure with this stoichiometry	0.255	eV per atom
density of states at the Fermi level	0.754	states/eV/atom
ΔE_f	647	meV/atom